No. 1
# GGA-PBE KBeFeH2, optimized geometry
data_KBeFeH2
_symmetry_space_group_name_H-M 'P 4/m m m'
_symmetry_Int_Tables_number 123
_symmetry_space_group_name_Hall '-P 4 2'
_cell_length_a 3.911
_cell_length_b 3.911
_cell_length_c 5.791
_cell_angle_alpha 90.00
_cell_angle_beta 90.00
_cell_angle_gamma 90.00
loop_
_atom_site_label
_atom_site_type_symbol
_atom_site_fract_x
_atom_site_fract_y
_atom_site_fract_z
_atom_site_occupancy
K1 K 0.000 0.000 0.000 1
Be1 Be 0.500 0.500 0.000 1
Fe1 Fe 0.000 0.000 0.500 1
H1 H 0.000 0.500 0.500 1
# Electronic total energy = -2.66 eV per atom
# Spin magnetization = 2.759 μB/f.u.

No. 2
# GGA-PBE Li2BeFeH6, optimized geometry
data_Li2BeFeH6
_symmetry_space_group_name_H-M 'R -3'
_symmetry_Int_Tables_number 148
_symmetry_space_group_name_Hall '-R 3'
_cell_length_a 4.4561
_cell_length_b 4.4561
_cell_length_c 10.9088
_cell_angle_alpha 90.00
_cell_angle_beta 90.00
_cell_angle_gamma 120.00
loop_
_atom_site_label
_atom_site_type_symbol
_atom_site_fract_x
_atom_site_fract_y
_atom_site_fract_z
_atom_site_occupancy
Li1 Li 0.0000 0.0000 0.2501 1
Be1 Be 0.0000 0.0000 0.0000 1
Fe1 Fe 0.0000 0.0000 0.5000 1
H1 H 0.0009 0.4670 0.7495 1
# Electronic total energy = -3.78 eV per atom
# Spin magnetization = 0.071 μB/f.u.

No. 3
# GGA-PBE MnBeFeH2, optimized geometry
data_MnBeFeH2
_symmetry_space_group_name_H-M 'P 4/m m m'
_symmetry_Int_Tables_number 123
_symmetry_space_group_name_Hall '-P 4 2'
_cell_length_a 3.162
_cell_length_b 3.162
_cell_length_c 4.979
_cell_angle_alpha 90.00
_cell_angle_beta 90.00
_cell_angle_gamma 90.00
loop_
_atom_site_label
_atom_site_type_symbol
_atom_site_fract_x
_atom_site_fract_y
_atom_site_fract_z
_atom_site_occupancy
Mn1 Mn 0.000 0.000 0.000 1
Be1 Be 0.500 0.500 0.500 1
Fe1 Fe 0.000 0.000 0.500 1
H1 H 0.000 0.500 0.000 1
# Electronic total energy = -4.97 eV per atom
# Spin magnetization = 4.892 μB/f.u.

No. 4
# GGA-PBE BeFeHN, optimized geometry
data_BeFeHN
_symmetry_space_group_name_H-M 'P 1'
_symmetry_Int_Tables_number 1
_cell_length_a 2.537
_cell_length_b 2.909
_cell_length_c 4.919
_cell_angle_alpha 103.45
_cell_angle_beta 90.05
_cell_angle_gamma 115.71
loop_
_symmetry_equiv_pos_as_xyz
'x,y,z'
loop_
_atom_site_label
_atom_site_type_symbol
_atom_site_fract_x
_atom_site_fract_y
_atom_site_fract_z
_atom_site_occupancy
Be1 Be 0.000 0.000 0.000 1
Fe1 Fe 0.334 0.670 0.414 1
H1 H 0.903 0.808 0.658 1
N1 N 0.722 0.446 0.113 1
# Polymorph energy (0 for the lowest one) = 0.175 eV/atom
# Electronic total energy = -6.13 eV per atom
# Spin magnetization = 2.005 μB/f.u.

No. 5
# GGA-PBE BeFeHN, optimized geometry
data_BeFeHN
_symmetry_space_group_name_H-M 'R 3 m'
_symmetry_Int_Tables_number 160
_symmetry_space_group_name_Hall 'R 3 -2"'
_cell_length_a 2.7552
_cell_length_b 2.7552
_cell_length_c 13.3565
_cell_angle_alpha 90.00
_cell_angle_beta 90.00
_cell_angle_gamma 120.00
loop_
_atom_site_label
_atom_site_type_symbol
_atom_site_fract_x
_atom_site_fract_y
_atom_site_fract_z
_atom_site_occupancy
Be1 Be 0.0000 0.0000 0.0000 1
Fe1 Fe 0.0000 0.0000 0.4700 1
H1 H 0.0000 0.0000 0.3504 1
N1 N 0.0000 0.0000 0.8800 1
# Polymorph energy (0 for the lowest one) = 0.244 eV/atom
# Electronic total energy = -6.06 eV per atom
# Spin magnetization = 0.853 μB/f.u.

No. 6
# GGA-PBE BeFeHN, optimized geometry
data_BeFeHN
_symmetry_space_group_name_H-M 'P 3 m 1'
_symmetry_Int_Tables_number 156
_cell_length_a 2.7223
_cell_length_b 2.7223
_cell_length_c 4.3991
_cell_angle_alpha 90.00
_cell_angle_beta 90.00
_cell_angle_gamma 120.00
loop_
_symmetry_equiv_pos_as_xyz
'x,y,z'
'-y,x-y,z'
'-x+y,-x,z'
'-y,-x,z'
'-x+y,y,z'
'x,x-y,z'
loop_
_atom_site_label
_atom_site_type_symbol
_atom_site_fract_x
_atom_site_fract_y
_atom_site_fract_z
_atom_site_occupancy
Be1 Be 0.0000 0.0000 0.0000 1
Fe1 Fe 0.6667 0.3333 0.4023 1
H1 H 0.3333 0.6667 0.1718 1
N1 N 0.0000 0.0000 0.6374 1
# Polymorph energy (0 for the lowest one) = 0.225 eV/atom
# Electronic total energy = -6.08 eV per atom
# Spin magnetization = 0.000 μB/f.u.

No. 7
# GGA-PBE BeFeHN, optimized geometry
data_BeFeHN
_symmetry_space_group_name_H-M 'P -6 m 2'
_symmetry_Int_Tables_number 187
_symmetry_space_group_name_Hall 'P -6 2'
_cell_length_a 2.9254
_cell_length_b 2.9254
_cell_length_c 3.8670
_cell_angle_alpha 90.00
_cell_angle_beta 90.00
_cell_angle_gamma 120.00
loop_
_atom_site_label
_atom_site_type_symbol
_atom_site_fract_x
_atom_site_fract_y
_atom_site_fract_z
_atom_site_occupancy
Be1 Be 0.0000 0.0000 0.0000 1
Fe1 Fe 0.6667 0.3333 0.5000 1
H1 H 0.3333 0.6667 0.5000 1
N1 N 0.6667 0.3333 0.0000 1
# Polymorph energy (0 for the lowest one) = 0.000 eV/atom
# Electronic total energy = -6.30 eV per atom
# Spin magnetization = 2.076 μB/f.u.

No. 8
# GGA-PBE BeFeHN, optimized geometry
data_BeFeHN
_symmetry_space_group_name_H-M 'C 1 m 1'
_symmetry_Int_Tables_number 8
_cell_length_a 4.767
_cell_length_b 2.754
_cell_length_c 4.318
_cell_angle_alpha 90.00
_cell_angle_beta 90.22
_cell_angle_gamma 90.00
loop_
_symmetry_equiv_pos_as_xyz
'x,y,z'
'x,-y,z'
'x+1/2,y+1/2,z'
'x+1/2,-y+1/2,z'
loop_
_atom_site_label
_atom_site_type_symbol
_atom_site_fract_x
_atom_site_fract_y
_atom_site_fract_z
_atom_site_occupancy
Be1 Be 0.000 0.000 0.000 1
Fe1 Fe 0.332 0.000 0.583 1
H1 H 0.498 0.500 0.364 1
N1 N 0.166 0.500 0.838 1
# Polymorph energy (0 for the lowest one) = 0.180 eV/atom
# Electronic total energy = -6.12 eV per atom
# Spin magnetization = 0.000 μB/f.u.

No. 9
# GGA-PBE BeFeHN, optimized geometry
data_BeFeHN
_symmetry_space_group_name_H-M 'A m m 2'
_symmetry_Int_Tables_number 38
_cell_length_a 3.885
_cell_length_b 2.937
_cell_length_c 5.069
_cell_angle_alpha 90.00
_cell_angle_beta 90.00
_cell_angle_gamma 90.00
loop_
_symmetry_equiv_pos_as_xyz
'x,y,z'
'-x,-y,z'
'-x,y,z'
'x,-y,z'
'x,y+1/2,z+1/2'
'-x,-y+1/2,z+1/2'
'-x,y+1/2,z+1/2'
'x,-y+1/2,z+1/2'
loop_
_atom_site_label
_atom_site_type_symbol
_atom_site_fract_x
_atom_site_fract_y
_atom_site_fract_z
_atom_site_occupancy
Be1 Be 0.000 0.000 0.000 1
Fe1 Fe 0.500 0.000 0.334 1
H1 H 0.500 0.000 0.000 1
N1 N 0.000 0.000 0.334 1
# Polymorph energy (0 for the lowest one) = 0.038 eV/atom
# Electronic total energy = -6.26 eV per atom
# Spin magnetization = 2.027 μB/f.u.

No. 10
# GGA-PBE BeFeHN, optimized geometry
data_BeFeHN
_symmetry_space_group_name_H-M 'P 1'
_symmetry_Int_Tables_number 1
_cell_length_a 2.655
_cell_length_b 2.656
_cell_length_c 4.424
_cell_angle_alpha 89.66
_cell_angle_beta 89.77
_cell_angle_gamma 60.01
loop_
_symmetry_equiv_pos_as_xyz
'x,y,z'
loop_
_atom_site_label
_atom_site_type_symbol
_atom_site_fract_x
_atom_site_fract_y
_atom_site_fract_z
_atom_site_occupancy
Be1 Be 0.000 0.000 0.000 1
Fe1 Fe 0.999 0.995 0.477 1
H1 H 0.331 0.324 0.699 1
N1 N 0.666 0.664 0.210 1
# Polymorph energy (0 for the lowest one) = 0.202 eV/atom
# Electronic total energy = -6.10 eV per atom
# Spin magnetization = 0.000 μB/f.u.

No. 11
# GGA-PBE NaBeFeH6, optimized geometry
data_NaBeFeH6
_symmetry_space_group_name_H-M 'C 1 2 1'
_symmetry_Int_Tables_number 5
_cell_length_a 3.883
_cell_length_b 7.519
_cell_length_c 4.694
_cell_angle_alpha 90.00
_cell_angle_beta 90.07
_cell_angle_gamma 90.00
loop_
_symmetry_equiv_pos_as_xyz
'x,y,z'
'-x,y,-z'
'x+1/2,y+1/2,z'
'-x+1/2,y+1/2,-z'
loop_
_atom_site_label
_atom_site_type_symbol
_atom_site_fract_x
_atom_site_fract_y
_atom_site_fract_z
_atom_site_occupancy
Na1 Na 0.000 0.000 0.000 1
Be1 Be 0.000 0.318 0.500 1
Fe1 Fe 0.000 0.638 0.500 1
H1 H 0.004 0.482 0.273 1
H2 H 0.216 0.742 0.282 1
H3 H 0.223 0.737 0.720 1
# Electronic total energy = -3.80 eV per atom
# Spin magnetization = 0.000 μB/f.u.

No. 12
# GGA-PBE BeNb2FeH, optimized geometry
data_BeNb2FeH
_symmetry_space_group_name_H-M 'P 4/m m m'
_symmetry_Int_Tables_number 123
_symmetry_space_group_name_Hall '-P 4 2'
_cell_length_a 4.085
_cell_length_b 4.085
_cell_length_c 3.581
_cell_angle_alpha 90.00
_cell_angle_beta 90.00
_cell_angle_gamma 90.00
loop_
_atom_site_label
_atom_site_type_symbol
_atom_site_fract_x
_atom_site_fract_y
_atom_site_fract_z
_atom_site_occupancy
Be1 Be 0.000 0.000 0.000 1
Nb1 Nb 0.000 0.500 0.500 1
Fe1 Fe 0.500 0.500 0.000 1
H1 H 0.500 0.500 0.500 1
# Polymorph energy (0 for the lowest one) = 0.000 eV/atom
# Electronic total energy = -7.17 eV per atom
# Spin magnetization = 1.686 μB/f.u.

No. 13
# GGA-PBE BeNb2FeH, optimized geometry
data_BeNb2FeH
_symmetry_space_group_name_H-M 'P 4/m m m'
_symmetry_Int_Tables_number 123
_symmetry_space_group_name_Hall '-P 4 2'
_cell_length_a 4.128
_cell_length_b 4.128
_cell_length_c 3.444
_cell_angle_alpha 90.00
_cell_angle_beta 90.00
_cell_angle_gamma 90.00
loop_
_atom_site_label
_atom_site_type_symbol
_atom_site_fract_x
_atom_site_fract_y
_atom_site_fract_z
_atom_site_occupancy
Be1 Be 0.000 0.000 0.000 1
Nb1 Nb 0.000 0.500 0.500 1
Fe1 Fe 0.500 0.500 0.000 1
H1 H 0.000 0.000 0.500 1
# Polymorph energy (0 for the lowest one) = 0.040 eV/atom
# Electronic total energy = -7.13 eV per atom
# Spin magnetization = 1.340 μB/f.u.

No. 14
# GGA-PBE BeNbFe2H, optimized geometry
data_BeNbFe2H
_symmetry_space_group_name_H-M 'P 4/m m m'
_symmetry_Int_Tables_number 123
_symmetry_space_group_name_Hall '-P 4 2'
_cell_length_a 3.866
_cell_length_b 3.866
_cell_length_c 3.254
_cell_angle_alpha 90.00
_cell_angle_beta 90.00
_cell_angle_gamma 90.00
loop_
_atom_site_label
_atom_site_type_symbol
_atom_site_fract_x
_atom_site_fract_y
_atom_site_fract_z
_atom_site_occupancy
Be1 Be 0.000 0.000 0.000 1
Nb1 Nb 0.500 0.500 0.000 1
Fe1 Fe 0.000 0.500 0.500 1
H1 H 0.000 0.000 0.500 1
# Polymorph energy (0 for the lowest one) = 0.000 eV/atom
# Electronic total energy = -6.83 eV per atom
# Spin magnetization = 0.000 μB/f.u.

No. 15
# GGA-PBE BeNbFe2H, optimized geometry
data_BeNbFe2H
_symmetry_space_group_name_H-M 'P 4/m m m'
_symmetry_Int_Tables_number 123
_symmetry_space_group_name_Hall '-P 4 2'
_cell_length_a 3.631
_cell_length_b 3.631
_cell_length_c 3.928
_cell_angle_alpha 90.00
_cell_angle_beta 90.00
_cell_angle_gamma 90.00
loop_
_atom_site_label
_atom_site_type_symbol
_atom_site_fract_x
_atom_site_fract_y
_atom_site_fract_z
_atom_site_occupancy
Be1 Be 0.000 0.000 0.000 1
Nb1 Nb 0.500 0.500 0.000 1
Fe1 Fe 0.000 0.500 0.500 1
H1 H 0.500 0.500 0.500 1
# Polymorph energy (0 for the lowest one) = 0.062 eV/atom
# Electronic total energy = -6.77 eV per atom
# Spin magnetization = 2.954 μB/f.u.

No. 16
# GGA-PBE BeFe2NiH, optimized geometry
data_BeFe2NiH
_symmetry_space_group_name_H-M 'P 4/m m m'
_symmetry_Int_Tables_number 123
_symmetry_space_group_name_Hall '-P 4 2'
_cell_length_a 3.527
_cell_length_b 3.527
_cell_length_c 3.605
_cell_angle_alpha 90.00
_cell_angle_beta 90.00
_cell_angle_gamma 90.00
loop_
_atom_site_label
_atom_site_type_symbol
_atom_site_fract_x
_atom_site_fract_y
_atom_site_fract_z
_atom_site_occupancy
Be1 Be 0.000 0.000 0.000 1
Fe1 Fe 0.000 0.500 0.500 1
Ni1 Ni 0.500 0.500 0.000 1
H1 H 0.500 0.500 0.500 1
# Polymorph energy (0 for the lowest one) = 0.000 eV/atom
# Electronic total energy = -6.01 eV per atom
# Spin magnetization = 4.849 μB/f.u.

No. 17
# GGA-PBE BeFe2NiH, optimized geometry
data_BeFe2NiH
_symmetry_space_group_name_H-M 'P 4/m m m'
_symmetry_Int_Tables_number 123
_symmetry_space_group_name_Hall '-P 4 2'
_cell_length_a 3.491
_cell_length_b 3.491
_cell_length_c 3.649
_cell_angle_alpha 90.00
_cell_angle_beta 90.00
_cell_angle_gamma 90.00
loop_
_atom_site_label
_atom_site_type_symbol
_atom_site_fract_x
_atom_site_fract_y
_atom_site_fract_z
_atom_site_occupancy
Be1 Be 0.000 0.000 0.000 1
Fe1 Fe 0.000 0.500 0.500 1
Ni1 Ni 0.500 0.500 0.000 1
H1 H 0.000 0.000 0.500 1
# Polymorph energy (0 for the lowest one) = 0.053 eV/atom
# Electronic total energy = -5.96 eV per atom
# Spin magnetization = 4.841 μB/f.u.

No. 18
# GGA-PBE Be2FeNiH, optimized geometry
data_Be2FeNiH
_symmetry_space_group_name_H-M 'P 4/m m m'
_symmetry_Int_Tables_number 123
_symmetry_space_group_name_Hall '-P 4 2'
_cell_length_a 3.540
_cell_length_b 3.540
_cell_length_c 3.160
_cell_angle_alpha 90.00
_cell_angle_beta 90.00
_cell_angle_gamma 90.00
loop_
_atom_site_label
_atom_site_type_symbol
_atom_site_fract_x
_atom_site_fract_y
_atom_site_fract_z
_atom_site_occupancy
Be1 Be 0.000 0.500 0.000 1
Fe1 Fe 0.000 0.000 0.500 1
Ni1 Ni 0.500 0.500 0.500 1
H1 H 0.000 0.000 0.000 1
# Electronic total energy = -5.10 eV per atom
# Spin magnetization = 1.335 μB/f.u.

No. 19
# GGA-PBE NpBe2FeH8, optimized geometry
data_NpBe2FeH8
_symmetry_space_group_name_H-M 'P -1'
_symmetry_Int_Tables_number 2
_cell_length_a 3.996
_cell_length_b 4.384
_cell_length_c 4.676
_cell_angle_alpha 90.10
_cell_angle_beta 91.86
_cell_angle_gamma 90.02
loop_
_symmetry_equiv_pos_as_xyz
'x,y,z'
'-x,-y,-z'
loop_
_atom_site_label
_atom_site_type_symbol
_atom_site_fract_x
_atom_site_fract_y
_atom_site_fract_z
_atom_site_occupancy
Np1 Np 0.000 0.000 0.000 1
Be1 Be 0.494 0.500 0.747 1
Fe1 Fe 0.000 0.500 0.500 1
H1 H 0.113 0.500 0.181 1
H2 H 0.244 0.230 0.585 1
H3 H 0.246 0.768 0.587 1
H4 H 0.500 0.252 0.999 1
# Electronic total energy = -4.77 eV per atom
# Spin magnetization = 4.790 μB/f.u.